Entry 1:
This record from Alexandria describes a relaxed MnAsPtSe2 crystal. The functional is PBE-GGA.

## Properties
volume	99.4	Å³/cell
energy	-23.93	eV/cell
SG	P4/mmm (123)
theoretical density	8.1	g/cm³
uncorrected formation energy	0.5795	eV/atom
energy above the most stable polymorph in this dataset	3	kJ/mol of formula units

```
MnAsPtSe2
1.0
-1.708 -0.615 4.298
-1.864 -4.067 -1.323
3.838 -2.155 1.216
As Mn Se Pt
1 1 2 1
Direct
0.000 0.000 0.500 As
0.000 0.000 0.000 Mn
0.000 0.500 0.000 Se
0.500 0.000 0.000 Se
0.500 0.500 0.500 Pt
```

=====

Entry 2:
This record from Alexandria describes a relaxed Sr2MnAsPt crystal. The functional is PBE-GGA.

## Properties
volume	164.7	Å³/cell
formation energy	8	meV/atom
energy	-23.19	eV/cell
SG	P4/mmm (123)
theoretical density	5.0	g/cm³
energy above the most stable polymorph in this dataset	0	kJ/mol of formula units

```
Sr2MnAsPt
1.0
-2.119 2.672 4.877
-4.196 -1.829 -0.821
1.447 -4.774 3.245
Sr As Mn Pt
2 1 1 1
Direct
0.000 0.000 0.500 Sr
0.500 0.000 0.000 Sr
0.000 0.000 0.000 As
0.500 0.500 0.500 Mn
0.000 0.500 0.000 Pt
```

=====

Entry 3:
This record from Alexandria describes a relaxed Sr2MnAsPt crystal. The functional is PBE-GGA.

## Properties
volume	144.7	Å³/cell
formation energy	30	meV/atom
energy	-23.08	eV/cell
SG	P4/mmm (123)
theoretical density	5.7	g/cm³
energy above the most stable polymorph in this dataset	11	kJ/mol of formula units

```
Sr2MnAsPt
1.0
5.745 0.000 0.000
0.000 4.384 0.000
0.000 0.000 5.745
Sr As Mn Pt
2 1 1 1
Direct
0.000 0.000 0.500 Sr
0.500 0.000 0.000 Sr
0.000 0.500 0.000 As
0.000 0.000 0.000 Mn
0.500 0.500 0.500 Pt
```